[1]
VASP calculation (PBE-GGA) on a relaxed TiZn3Hg crystal.

The structure in POSCAR format:
```
TiZn3Hg
1.0
5.1634 0.0000 0.0000
0.0000 5.1634 0.0000
0.0000 0.0000 5.1634
Hg Ti Zn
1 1 3
Direct
0.5000 0.5000 0.5000 Hg
0.0000 0.0000 0.0000 Ti
0.5000 0.0000 0.0000 Zn
0.0000 0.5000 0.0000 Zn
0.0000 0.0000 0.5000 Zn
```

N(E_F): 1.134 states/eV/atom
density: 5364 kg/m3
energy above the lowest structure with this stoichiometry: 0.0 meV per atom
space-group type: No. 221
ΔH_f (0 K): 3.86 eV per formula unit

***

[2]
VASP calculation (PBE-GGA) on a relaxed TiZn2Hg crystal.

The structure in POSCAR format:
```
TiZn2Hg
1.0
7.3074 0.0000 0.0000
0.0000 7.3074 0.0000
3.6537 3.6537 2.8177
Zn Hg Ti
4 2 2
Direct
0.1247 0.6250 0.2500 Zn
0.3750 0.3747 0.7500 Zn
0.8750 0.8753 0.7500 Zn
0.6253 0.1250 0.2500 Zn
0.7500 0.2500 0.5000 Hg
0.0000 0.0000 0.0000 Hg
0.2500 0.7500 0.5000 Ti
0.5000 0.5000 0.0000 Ti
```

N(E_F): 0.418 states/eV/atom
density: 8372 kg/m3
space-group type: No. 122
ΔH_f (0 K): 0.93 eV per formula unit

***

[3]
VASP calculation (PBE-GGA) on a relaxed TiZnHg2 crystal.

The structure in POSCAR format:
```
TiZnHg2
1.0
-1.8350 -0.1858 -2.4239
-1.8880 -2.3708 -0.3026
-8.6617 4.3914 4.3071
Hg Zn Ti
2 1 1
Direct
0.9104 0.9104 0.2689 Hg
0.0896 0.0896 0.7311 Hg
0.5000 0.5000 0.5000 Zn
0.0000 0.0000 0.0000 Ti
```

N(E_F): 1.065 states/eV/atom
density: 10149 kg/m3
space-group type: No. 166
ΔH_f (0 K): 1.54 eV per formula unit

***

[4]
VASP calculation (PBE-GGA) on a relaxed TiZn2Hg crystal.

The structure in POSCAR format:
```
TiZn2Hg
1.0
2.9739 0.0000 0.0000
1.4869 2.5754 0.0000
1.4869 0.8585 9.3463
Ti Zn Hg
1 2 1
Direct
0.5004 0.5004 0.4987 Ti
0.2456 0.2456 0.2633 Zn
0.0878 0.0878 0.7366 Zn
0.6662 0.6662 0.0014 Hg
```

N(E_F): 0.968 states/eV/atom
density: 8798 kg/m3
space-group type: No. 160
ΔH_f (0 K): 0.35 eV per formula unit

***

[5]
VASP calculation (PBE-GGA) on a relaxed Ti3ZnHg crystal.

The structure in POSCAR format:
```
Ti3ZnHg
1.0
-0.8977 4.0925 2.0739
-4.0708 0.2643 -2.2835
-2.1162 -2.2444 3.5128
Ti Hg Zn
3 1 1
Direct
0.0000 0.0000 0.5000 Ti
0.0000 0.5000 0.0000 Ti
0.5000 0.0000 0.0000 Ti
0.5000 0.5000 0.5000 Hg
0.0000 0.0000 0.0000 Zn
```

N(E_F): 0.495 states/eV/atom
density: 6657 kg/m3
energy above the lowest structure with this stoichiometry: 467.7 meV per atom
space-group type: No. 221
ΔH_f (0 K): 3.08 eV per formula unit

***

[6]
VASP calculation (PBE-GGA) on a relaxed TiZnHg2 crystal.

The structure in POSCAR format:
```
TiZnHg2
1.0
-2.2330 3.2941 -0.6959
-3.5907 -2.2571 0.8378
0.2943 1.0816 4.1753
Hg Zn Ti
2 1 1
Direct
0.0000 0.5000 0.0000 Hg
0.0000 0.0000 0.5000 Hg
0.5000 0.5000 0.5000 Zn
0.5000 0.0000 0.0000 Ti
```

N(E_F): 0.702 states/eV/atom
density: 11314 kg/m3
space-group type: No. 123
ΔH_f (0 K): 0.14 eV per formula unit

***

[7]
VASP calculation (PBE-GGA) on a relaxed TiZnHg2 crystal.

The structure in POSCAR format:
```
TiZnHg2
1.0
3.1323 0.0000 0.0000
0.0000 3.1323 0.0000
0.0000 0.0000 7.6266
Ti Zn Hg
1 1 2
Direct
0.5000 0.5000 0.5000 Ti
0.5000 0.5000 0.0000 Zn
0.0000 0.0000 0.2467 Hg
0.0000 0.0000 0.7533 Hg
```

N(E_F): 0.656 states/eV/atom
density: 11417 kg/m3
space-group type: No. 123
ΔH_f (0 K): 0.21 eV per formula unit

***

[8]
VASP calculation (PBE-GGA) on a relaxed Ti4ZnHg crystal.

The structure in POSCAR format:
```
Ti4ZnHg
1.0
3.0376 0.0000 0.0000
0.0000 3.0376 0.0000
0.0000 0.0000 11.2887
Zn Ti Hg
1 4 1
Direct
0.5000 0.5000 0.5000 Zn
0.5000 0.5000 0.8144 Ti
0.5000 0.5000 0.1856 Ti
0.0000 0.0000 0.3473 Ti
0.0000 0.0000 0.6527 Ti
0.0000 0.0000 0.0000 Hg
```

N(E_F): 0.931 states/eV/atom
density: 7293 kg/m3
space-group type: No. 123
ΔH_f (0 K): -0.66 eV per formula unit

***

> The lowest ΔH_f (0 K) belongs to which entry?

Ti4ZnHg